[1]
A plane-wave DFT calculation with PBE was carried out for SmDy2Al2 after structural relaxation.

Output
- E_form: -29 kJ per mole of atoms
- Uncorrected energy: -4.585 eV/atom
- Space-group type: P2_1/m, No. 11
- Excess energy over the best structure of this formula in the dataset: 0 meV/atom

Cell lengths 3.6609, 5.1949, 13.6086 Å; angles 90.00, 97.74, 90.00 degrees
Last column: nearest neighbours and their distance in Å.
Fractional coordinates of all 10 atoms:
Sm  0.8568  0.7500  0.7111  6 Al 3.18-3.19, 2 Dy 3.53
Sm  0.1432  0.2500  0.2889  6 Al 3.18-3.19, 2 Dy 3.53
Dy  0.0469  0.7500  0.0940  8 Al 3.12-3.18
Dy  0.9531  0.2500  0.9060  8 Al 3.12-3.18
Dy  0.2326  0.7500  0.4661  2 Al 3.09, 4 Dy 3.30-3.31
Dy  0.7674  0.2500  0.5339  2 Al 3.09, 4 Dy 3.30-3.31
Al  0.6402  0.7500  0.2815  4 Dy 3.09-3.12, 4 Sm 3.18
Al  0.3598  0.2500  0.7185  4 Dy 3.09-3.12, 4 Sm 3.18
Al  0.4521  0.7500  0.9043  6 Dy 3.15-3.18, 2 Sm 3.18-3.19
Al  0.5479  0.2500  0.0957  6 Dy 3.15-3.18, 2 Sm 3.18-3.19



[2]
A plane-wave DFT calculation with PBE was carried out for Pm3Sm4Tm5 after structural relaxation.

Output
- E_form: 22 kJ per mole of atoms
- Uncorrected energy: -4.396 eV/atom
- Space-group type: C2/m, No. 12

Cell lengths 5.9349, 8.5325, 9.6690 Å; angles 105.49, 72.13, 69.65 degrees
Last column: nearest neighbours and their distance in Å.
Fractional coordinates of all 12 atoms:
Pm  0.5253  0.6859  0.2635  5 Tm 3.11-3.45, 2 Sm 3.30-3.38
Pm  0.0000  0.5000  0.5000  2 Tm 2.97
Pm  0.4747  0.3141  0.7365  5 Tm 3.11-3.45, 2 Sm 3.30-3.38
Sm  0.8615  0.2229  0.0542  2 Sm 3.28-3.66, 1 Pm 3.38, 3 Tm 3.43-3.51
Sm  0.1718  0.0389  0.6175  3 Pm 3.30-3.58, 3 Sm 3.57-3.66, 2 Tm 3.65
Sm  0.8282  0.9611  0.3825  3 Pm 3.30-3.58, 3 Sm 3.57-3.66, 2 Tm 3.65
Sm  0.1385  0.7771  0.9458  2 Sm 3.28-3.66, 1 Pm 3.38, 3 Tm 3.43-3.51
Tm  0.6269  0.9440  0.8022  2 Pm 3.26-3.47, 2 Tm 3.37-3.60
Tm  0.5000  0.5000  0.5000  4 Pm 2.97-3.11
Tm  0.2134  0.4576  0.1156  4 Pm 3.18-3.45, 3 Sm 3.43-3.51
Tm  0.7866  0.5424  0.8844  4 Pm 3.18-3.45, 3 Sm 3.43-3.51
Tm  0.3731  0.0560  0.1978  2 Pm 3.26-3.47, 2 Tm 3.37-3.60



[3]
A plane-wave DFT calculation with PBE was carried out for BeCr2CuPb after structural relaxation.

Output
- E_form: 62 kJ per mole of atoms
- Uncorrected energy: -5.516 eV/atom
- Space-group type: P4/mmm, No. 123

Cell lengths 4.3164, 4.1377, 4.3164 Å; angles 90.00, 90.00, 90.00 degrees
Last column: nearest neighbours and their distance in Å.
Fractional coordinates of all 5 atoms:
Pb  0.5000  0.5000  0.5000  8 Cr 2.99, 4 Cu 3.05
Cr  0.0000  0.0000  0.5000  2 Be 2.16
Cr  0.5000  0.0000  0.0000  2 Be 2.16
Cu  0.0000  0.5000  0.0000  2 Be 2.07
Be  0.0000  0.0000  0.0000  2 Cu 2.07, 4 Cr 2.16



[4]
A plane-wave DFT calculation with PBE was carried out for NdEuRhPb after structural relaxation.

Output
- E_form: -36 kJ per mole of atoms
- Uncorrected energy: -6.902 eV/atom
- Space-group type: F-43m, No. 216

Cell lengths 5.3170, 5.3170, 5.3170 Å; angles 60.00, 60.00, 60.00 degrees
Last column: nearest neighbours and their distance in Å.
Fractional coordinates of all 4 atoms:
Pb  0.5000  0.5000  0.5000  4 Nd 3.26, 4 Eu 3.26
Eu  0.2500  0.2500  0.2500  4 Rh 3.26, 4 Pb 3.26
Nd  0.7500  0.7500  0.7500  4 Pb 3.26, 4 Rh 3.26
Rh  0.0000  0.0000  0.0000  4 Nd 3.26, 4 Eu 3.26



[5]
A plane-wave DFT calculation with PBE was carried out for ScHgAs2Br after structural relaxation.

Output
- Uncorrected energy: -3.350 eV/atom
- E_form (uncorrected): 0.1711 eV per atom
- Space-group type: P4/mmm, No. 123
- Excess energy over the best structure of this formula in the dataset: 271 meV/atom

Cell lengths 5.1352, 5.8418, 5.1352 Å; angles 90.00, 90.00, 90.00 degrees
Last column: nearest neighbours and their distance in Å.
Fractional coordinates of all 5 atoms:
Sc  0.0000  0.0000  0.0000  4 As 2.57
As  0.0000  0.0000  0.5000  2 Sc 2.57
As  0.5000  0.0000  0.0000  2 Sc 2.57
Hg  0.0000  0.5000  0.0000  2 Sc 2.92
Br  0.5000  0.5000  0.5000  4 Hg 3.63, 8 As 3.89



[6]
A plane-wave DFT calculation with PBE was carried out for Pm3Nd5As8 after structural relaxation.

Output
- E_form: -146 kJ per mole of atoms
- Uncorrected energy: -6.223 eV/atom
- Space-group type: R-3m, No. 166

Cell lengths 8.5198, 8.5198, 8.5186 Å; angles 60.00, 60.00, 60.00 degrees
Last column: nearest neighbours and their distance in Å.
Fractional coordinates of all 16 atoms:
Pm  0.5000  0.0000  0.5000  6 As 3.00
Pm  0.0000  0.0000  0.5000  6 As 3.00
Pm  0.0000  0.5000  0.5000  6 As 3.00
Nd  0.5000  0.0000  0.0000  6 As 3.02
Nd  0.5000  0.5000  0.0000  6 As 3.02
Nd  0.0000  0.0000  0.0000  6 As 3.01
Nd  0.0000  0.5000  0.0000  6 As 3.02
Nd  0.5000  0.5000  0.5000  6 As 3.01
As  0.2500  0.2500  0.7486  2 Pm 3.00, 4 Nd 3.01-3.02
As  0.2500  0.7514  0.7486  2 Pm 3.00, 4 Nd 3.01-3.02
As  0.7514  0.2500  0.7486  2 Pm 3.00, 4 Nd 3.01-3.02
As  0.7507  0.7507  0.7480  3 Pm 3.00, 3 Nd 3.02
As  0.7500  0.7500  0.2514  2 Pm 3.00, 4 Nd 3.01-3.02
As  0.7500  0.2486  0.2514  2 Pm 3.00, 4 Nd 3.01-3.02
As  0.2486  0.7500  0.2514  2 Pm 3.00, 4 Nd 3.01-3.02
As  0.2493  0.2493  0.2520  3 Pm 3.00, 3 Nd 3.02